VASP calculation (GGA-PBE) on an optimized crystal structure of Y2GaAg.

Values from the calculation:
Energy of formation in eV per atom: 0.163
E_tot in Ry per atom: -0.33361
Crystal system: tetragonal
Magnetization in μB/cell: 0.0
SG: I-42d, No. 122
Mass density in Mg/m³: 5.295

a = 4.7509 Å, b = 4.7509 Å, c = 10.4319 Å
α = 76.84°, β = 76.84°, γ = 90.00°
Positions (direct):
Ga1 0.5000 0.5000 0.0000
Ga2 0.2500 0.7500 0.5000
Ag1 0.0000 0.0000 0.0000
Ag2 0.7500 0.2500 0.5000
Y1 0.8750 0.8664 0.7500
Y2 0.3750 0.3836 0.7500
Y3 0.6164 0.1250 0.2500
Y4 0.1336 0.6250 0.2500